This record from Alexandria via LeMat-Bulk describes crystalline Nd2SmGa6 at its relaxed geometry. The functional is PBE.

Output
For the formation enthalpy at 0 K, the calculation gives -683 meV/atom. Its density is 7.02 g cm⁻³.

Cell lengths 7.3927, 7.3927, 4.2846 Å; angles 90.00, 90.00, 120.00 degrees
Space group P6/mmm (No. 191)
Unique sites:
Nd (0.3333, 0.6667, 0.0000) x2
Sm (0.0000, 0.0000, 0.0000) x1
Ga (0.0000, 0.3328, 0.5000) x6

***

This record from Alexandria via LeMat-Bulk describes crystalline SrInSi2 at its relaxed geometry. The functional is PBE.

Output
The formation energy from raw total energies is 110 meV/atom. Its density is 4.48 g cm⁻³.

Cell lengths 3.263, 4.861, 6.036 Å; angles 90.00, 90.00, 90.00 degrees
Space group Pmmm (No. 47)
Unique sites:
Sr (0.000, 0.000, 0.000) x1
In (0.500, 0.000, 0.500) x1
Si (0.500, 0.500, 0.286) x2

***

This record from Alexandria via LeMat-Bulk describes crystalline MoPtN2 at its relaxed geometry. The functional is PBE.

Output
The formation energy from raw total energies is 1108 meV/atom. Its density is 12.62 g cm⁻³.

Cell lengths 5.518, 5.518, 5.518 Å; angles 90.00, 90.00, 90.00 degrees
Space group Fm-3m (No. 225)
Unique sites:
Mo (0.000, 0.000, 0.000) x4
Pt (0.000, 0.000, 0.500) x4
N (0.250, 0.250, 0.250) x8

***

This record from Alexandria via LeMat-Bulk describes crystalline EuSnPt at its relaxed geometry. The functional is PBE.

Output
For the formation enthalpy at 0 K, the calculation gives -740 meV/atom. Its density is 9.80 g cm⁻³.

Cell lengths 6.808, 6.808, 6.808 Å; angles 90.00, 90.00, 90.00 degrees
Space group F-43m (No. 216)
Unique sites:
Eu (0.000, 0.000, 0.000) x4
Sn (0.000, 0.000, 0.500) x4
Pt (0.250, 0.250, 0.750) x4

***

This record from Alexandria via LeMat-Bulk describes crystalline CeEr2Fe9 at its relaxed geometry. The functional is PBE.

Output
For the formation enthalpy at 0 K, the calculation gives -78 meV/atom. Its density is 9.00 g cm⁻³.

Cell lengths 5.0531, 5.0531, 24.4478 Å; angles 90.00, 90.00, 120.00 degrees
Space group R-3m (No. 166, hexagonal axes)
Unique sites:
Ce (0.0000, 0.0000, 0.0000) x3
Er (0.0000, 0.0000, 0.1419) x6
Fe (0.0000, 0.0000, 0.3325) x6
Fe (0.0000, 0.0000, 0.5000) x3
Fe (0.0004, 0.5002, 0.0831) x18

***

This record from Alexandria via LeMat-Bulk describes crystalline YPaReRh at its relaxed geometry. The functional is PBE.

Output
For the formation enthalpy at 0 K, the calculation gives -299 meV/atom. Its density is 12.32 g cm⁻³.

Cell lengths 6.899, 6.899, 6.899 Å; angles 90.00, 90.00, 90.00 degrees
Space group F-43m (No. 216)
Unique sites:
Y (0.000, 0.000, 0.000) x4
Pa (0.000, 0.000, 0.500) x4
Re (0.250, 0.250, 0.250) x4
Rh (0.250, 0.250, 0.750) x4

***

This record from Alexandria via LeMat-Bulk describes crystalline Rb2TlAg2Cl7 at its relaxed geometry. The functional is PBE.

Output
The formation energy from raw total energies is -1029 meV/atom. Its density is 3.97 g cm⁻³.

Cell lengths 5.173, 5.173, 26.255 Å; angles 90.00, 90.00, 90.00 degrees
Space group I4/mmm (No. 139)
Unique sites:
Rb (0.000, 0.000, 0.179) x4
Tl (0.000, 0.000, 0.000) x2
Ag (0.000, 0.000, 0.403) x4
Cl (0.000, 0.000, 0.306) x4
Cl (0.000, 0.000, 0.500) x2
Cl (0.000, 0.500, 0.092) x8

***

This record from Alexandria via LeMat-Bulk describes crystalline La2Si2Pd3 at its relaxed geometry. The functional is PBE.

Output
The formation energy from raw total energies is -861 meV/atom. Its density is 7.66 g cm⁻³.

Cell lengths 10.872, 4.021, 7.167 Å; angles 90.00, 115.34, 90.00 degrees
Space group C2/m (No. 12)
Unique sites:
La (0.133, 0.000, 0.270) x4
Si (0.149, 0.000, 0.725) x4
Pd (0.000, 0.500, 0.500) x2
Pd (0.139, 0.500, 0.930) x4

***

no.,total energy (eV per atom)
1,-4.285
2,-3.706
3,-7.273
4,-7.512
5,-7.680
6,-9.239
7,-2.940
8,-6.044